No. 1
AcTb3O: optimized geometry, PBE.

The calculated volume comes out at 26.06 Å³/atom. The uncorrected formation energy comes out at -0.978 eV per atom. The calculation puts the electronic total energy at -5.570 eV/atom. The density of states at the Fermi level comes out at 1.621 states/eV per atom.

The space group is Pm-3m (No. 221) and the conventional cell measures 5.0700, 5.0700 and 5.0700 Å, with angles of 90.00, 90.00 and 90.00 degrees. The asymmetric unit holds Ac at (0.0000, 0.0000, 0.0000), Tb at (0.0000, 0.5000, 0.5000) and O at (0.5000, 0.5000, 0.5000).

No. 2
Ac2TbO: optimized geometry, PBE.

The calculated volume comes out at 31.51 Å³/atom. The uncorrected formation energy comes out at -0.947 eV per atom. The calculation puts the electronic total energy at -5.399 eV/atom. The density of states at the Fermi level comes out at 1.440 states/eV per atom.

The space group is R-3m (No. 166, hexagonal axes) and the conventional cell measures 3.7955, 3.7955 and 30.3091 Å, with angles of 90.00, 90.00 and 120.00 degrees. The asymmetric unit holds Ac at (0.0000, 0.0000, 0.1168), Tb at (0.0000, 0.0000, 0.0000) and O at (0.0000, 0.0000, 0.5000).

No. 3
AcTbO: optimized geometry, PBE.

The calculated volume comes out at 30.13 Å³/atom. The uncorrected formation energy comes out at -1.757 eV per atom. The calculation puts the electronic total energy at -6.323 eV/atom. Its relative energy among the computed polymorphs is 0.000 eV per atom. The density of states at the Fermi level comes out at 1.037 states/eV per atom.

The space group is C2/m (No. 12) and the conventional cell measures 14.2326, 3.9896 and 7.1298 Å, with angles of 90.00, 116.75 and 90.00 degrees. The asymmetric unit holds Ac at (0.1168, 0.0000, 0.4464), Tb at (0.1136, 0.5000, 0.9612) and O at (0.0640, 0.5000, 0.2129).

No. 4
Ac2TbTcO8: optimized geometry, PBE.

The calculated volume comes out at 16.20 Å³/atom. The uncorrected formation energy comes out at -2.503 eV per atom. The calculation puts the electronic total energy at -7.743 eV/atom.

The space group is P-1 (No. 2) and the conventional cell measures 5.0143, 5.4921 and 7.0730 Å, with angles of 90.23, 92.18 and 92.93 degrees. The asymmetric unit holds Ac at (0.0710, 0.0226, 0.2590), Tb at (0.5000, 0.5000, 0.0000), Tc at (0.5000, 0.5000, 0.5000), O at (0.1744, 0.2178, 0.9783), O at (0.1928, 0.3024, 0.5331), O at (0.3380, 0.6585, 0.2841) and O at (0.3885, 0.7305, 0.6912).

No. 5
AcTbTc2O8: optimized geometry, PBE.

The calculated volume comes out at 18.37 Å³/atom. The uncorrected formation energy comes out at -2.124 eV per atom. The calculation puts the electronic total energy at -7.885 eV/atom.

The space group is P-3m1 (No. 164) and the conventional cell measures 5.9150, 5.9150 and 7.2765 Å, with angles of 90.00, 90.00 and 120.00 degrees. The asymmetric unit holds Ac at (0.0000, 0.0000, 0.0000), Tb at (0.0000, 0.0000, 0.5000), Tc at (0.3333, 0.6667, 0.7867), O at (0.1586, 0.3171, 0.7180) and O at (0.3333, 0.6667, 0.0339).

No. 6
AcTbTeO2: optimized geometry, PBE.

The calculated volume comes out at 23.72 Å³/atom. The uncorrected formation energy comes out at -2.938 eV per atom. The calculation puts the electronic total energy at -7.298 eV/atom. The density of states at the Fermi level comes out at 0.000 states/eV per atom.

The space group is P2_1/m (No. 11) and the conventional cell measures 7.1586, 4.2612 and 8.1551 Å, with angles of 90.00, 107.56 and 90.00 degrees. The asymmetric unit holds Ac at (0.1879, 0.2500, 0.4266), Tb at (0.1523, 0.2500, 0.9148), Te at (0.4485, 0.7500, 0.7639), O at (0.0099, 0.7500, 0.8891) and O at (0.0133, 0.7500, 0.3669).

No. 7
AcTb2TeO8: optimized geometry, PBE.

The calculated volume comes out at 15.45 Å³/atom. The uncorrected formation energy comes out at -2.487 eV per atom. The calculation puts the electronic total energy at -7.168 eV/atom. The density of states at the Fermi level comes out at 0.395 states/eV per atom.

The space group is P2/m (No. 10) and the conventional cell measures 5.0508, 7.2622 and 5.0550 Å, with angles of 90.00, 90.41 and 90.00 degrees. The asymmetric unit holds Ac at (0.0000, 0.0000, 0.0000), Tb at (0.5000, 0.2670, 0.5000), Te at (0.0000, 0.5000, 0.0000), O at (0.1842, 0.3020, 0.8142), O at (0.2769, 0.5000, 0.2749) and O at (0.3301, 0.0000, 0.3280).

No. 8
AcTbTe2O: optimized geometry, PBE.

The calculated volume comes out at 30.09 Å³/atom. The uncorrected formation energy comes out at -2.135 eV per atom. The calculation puts the electronic total energy at -6.131 eV/atom. The density of states at the Fermi level comes out at 0.291 states/eV per atom.

The space group is P4/nmm (No. 129, origin choice 2) and the conventional cell measures 4.3534, 4.3534 and 15.8753 Å, with angles of 90.00, 90.00 and 90.00 degrees. The asymmetric unit holds Ac at (0.2500, 0.2500, 0.0777), Tb at (0.2500, 0.2500, 0.6212), Te at (0.2500, 0.2500, 0.4124), Te at (0.2500, 0.2500, 0.8015) and O at (0.2500, 0.7500, 0.0000).

No. 9
Ac2TbTe2O2: optimized geometry, PBE.

The calculated volume comes out at 25.24 Å³/atom. The uncorrected formation energy comes out at -2.268 eV per atom. The calculation puts the electronic total energy at -6.417 eV/atom. The density of states at the Fermi level comes out at 0.476 states/eV per atom.

The space group is I4/mmm (No. 139) and the conventional cell measures 4.5336, 4.5336 and 17.1927 Å, with angles of 90.00, 90.00 and 90.00 degrees. The asymmetric unit holds Ac at (0.0000, 0.0000, 0.1143), Tb at (0.0000, 0.0000, 0.5000), Te at (0.0000, 0.0000, 0.3195) and O at (0.0000, 0.5000, 0.0000).

No. 10
AcTbTeO6: optimized geometry, PBE.

The calculated volume comes out at 16.07 Å³/atom. The uncorrected formation energy comes out at -2.482 eV per atom. The calculation puts the electronic total energy at -7.107 eV/atom. The density of states at the Fermi level comes out at 0.000 states/eV per atom.

The space group is P-31c (No. 163) and the conventional cell measures 5.6724, 5.6724 and 10.3820 Å, with angles of 90.00, 90.00 and 120.00 degrees. The asymmetric unit holds Ac at (0.0000, 0.0000, 0.0000), Tb at (0.3333, 0.6667, 0.2500), Te at (0.3333, 0.6667, 0.7500) and O at (0.0433, 0.3870, 0.6429).

No. 11
Ac2TbTiO6: optimized geometry, PBE.

The calculated volume comes out at 14.83 Å³/atom. The uncorrected formation energy comes out at -3.259 eV per atom. The calculation puts the electronic total energy at -8.308 eV/atom. The density of states at the Fermi level comes out at 0.233 states/eV per atom.

The space group is P2_1/c (No. 14) and the conventional cell measures 5.9183, 5.9891 and 10.1903 Å, with angles of 90.00, 124.80 and 90.00 degrees. The asymmetric unit holds Ac at (0.2361, 0.0494, 0.2472), Tb at (0.5000, 0.0000, 0.0000), Ti at (0.0000, 0.0000, 0.5000), O at (0.1410, 0.2149, 0.9475), O at (0.2352, 0.6939, 0.9521) and O at (0.3312, 0.0245, 0.7370).

No. 12
Ac2Tb4Tl3O2: optimized geometry, PBE.

The calculated volume comes out at 27.50 Å³/atom. The uncorrected formation energy comes out at -1.250 eV per atom. The calculation puts the electronic total energy at -5.228 eV/atom. The density of states at the Fermi level comes out at 0.639 states/eV per atom.

The space group is I4/mmm (No. 139) and the conventional cell measures 4.8252, 4.8252 and 25.9856 Å, with angles of 90.00, 90.00 and 90.00 degrees. The asymmetric unit holds Ac at (0.0000, 0.0000, 0.1947), Tb at (0.0000, 0.5000, 0.0801), Tl at (0.0000, 0.0000, 0.3327), Tl at (0.0000, 0.0000, 0.5000) and O at (0.0000, 0.0000, 0.0935).